The following is a DFT calculation (GGA-PBE) of a relaxed structure of AsPtRhBr2.

a = 5.0731 Å, b = 5.0731 Å, c = 4.6562 Å
α = 90.00°, β = 90.00°, γ = 90.00°
Space group P4/mmm (No. 123)
Asymmetric unit:
1 As 0.0000 0.0000 0.0000 [1 per cell]
2 Pt 0.5000 0.5000 0.0000 [1 per cell]
3 Rh 0.0000 0.0000 0.5000 [1 per cell]
4 Br 0.0000 0.5000 0.5000 [2 per cell]

Summary:
**D(E_F)**: 1.61 states/eV per atom
**Energy above the lowest structure with this stoichiometry**: 0.000 eV per atom
**Formation energy from raw total energies**: 3.85 eV/f.u.